1.
Here is a geometry-optimized RbSrPb2 structure from Alexandria via LeMat-Bulk. Energies are from PBE.

a = 4.298 Å, b = 4.298 Å, c = 8.659 Å
α = 90.00°, β = 90.00°, γ = 90.00°
Fractional positions:
Rb 0.500 0.500 0.500
Sr 0.500 0.500 0.000
Pb 0.000 0.000 0.798
Pb 0.000 0.000 0.202

Spin magnetization: 0.0 μB per formula unit
VASP energy: -2.7997 eV per atom
Crystal system: tetragonal
Energy above the most stable polymorph in this dataset: 0 meV per atom
D(E_F): 2.56 states/eV/f.u.

=====

2.
Here is a geometry-optimized KPr3Te4O12 structure from Alexandria via LeMat-Bulk. Energies are from PBE.

a = 7.993 Å, b = 7.993 Å, c = 7.993 Å
α = 108.06°, β = 108.06°, γ = 108.06°
Each line ends with the local moment (μB).
Fractional positions:
O 0.783 0.064 0.635  0.00
O 0.500 0.341 0.659  0.09
O 0.936 0.217 0.365  0.00
O 0.500 0.112 0.888  0.00
O 0.635 0.783 0.064  0.00
O 0.888 0.500 0.112  0.00
O 0.341 0.659 0.500  0.09
O 0.217 0.365 0.936  0.00
O 0.112 0.888 0.500  0.00
O 0.659 0.500 0.341  0.09
O 0.365 0.936 0.217  0.00
O 0.064 0.635 0.783  0.00
Te 0.949 0.051 0.500  -0.03
Te 0.500 0.949 0.051  -0.03
Te 0.500 0.500 0.500  0.32
Te 0.051 0.500 0.949  -0.03
K 0.000 0.000 0.000  0.00
Pr 0.000 0.554 0.446  0.00
Pr 0.446 0.000 0.554  0.00
Pr 0.554 0.446 0.000  0.00

Spin magnetization: 0.8 μB per formula unit
VASP energy: -6.0371 eV per atom
Crystal system: trigonal
D(E_F): 4.86 states/eV/f.u.

=====

3.
Here is a geometry-optimized NbReSn2 structure from Alexandria via LeMat-Bulk. Energies are from PBE.

a = 4.730 Å, b = 4.730 Å, c = 4.730 Å
α = 60.00°, β = 60.00°, γ = 60.00°
Each line ends with the local moment (μB).
Fractional positions:
Nb 0.000 0.000 0.000  0.54
Sn 0.750 0.750 0.750  0.01
Sn 0.250 0.250 0.250  0.01
Re 0.500 0.500 0.500  0.11

Spin magnetization: 0.8 μB per formula unit
VASP energy: -7.2382 eV per atom
Crystal system: cubic
Energy above the most stable polymorph in this dataset: 0 meV per atom
D(E_F): 4.92 states/eV/f.u.

=====

4.
Here is a geometry-optimized CaHo5Te6 structure from Alexandria via LeMat-Bulk. Energies are from PBE.

a = 7.584 Å, b = 7.513 Å, c = 7.533 Å
α = 60.08°, β = 80.48°, γ = 70.62°
Fractional positions:
Ho 0.500 0.500 0.000
Ho 0.500 0.163 0.674
Ho 0.000 0.332 0.336
Ho 0.000 0.668 0.664
Ho 0.500 0.837 0.326
Te 0.247 0.254 0.000
Te 0.746 0.085 0.336
Te 0.254 0.579 0.336
Te 0.753 0.746 0.000
Te 0.254 0.915 0.664
Te 0.746 0.421 0.664
Ca 0.000 0.000 0.000

Spin magnetization: 0.0 μB per formula unit
VASP energy: -4.9500 eV per atom
Crystal system: monoclinic
D(E_F): 5.73 states/eV/f.u.